Mg2Sc5SnPd2: relaxed, PBE. Values from VASP.

Quantum ESPRESSO input file:
```
&SYSTEM
  ibrav = 0, nat = 20, ntyp = 4
/
ATOMIC_SPECIES
Mg 24.30 Mg.upf
Sc 44.96 Sc.upf
Sn 118.71 Sn.upf
Pd 106.42 Pd.upf
ATOMIC_POSITIONS crystal
Mg 0.0000 0.6725 0.1725
Mg 0.0000 0.3275 0.8275
Mg 0.0000 0.1725 0.3275
Mg 0.0000 0.8275 0.6725
Sc 0.5000 0.2027 0.0708
Sc 0.5000 0.7973 0.9292
Sc 0.5000 0.0708 0.7973
Sc 0.5000 0.7027 0.4292
Sc 0.5000 0.9292 0.2027
Sc 0.5000 0.2973 0.5708
Sc 0.5000 0.5708 0.7027
Sc 0.5000 0.4292 0.2973
Sc 0.5000 0.5000 0.0000
Sc 0.5000 0.0000 0.5000
Sn 0.0000 0.0000 0.0000
Sn 0.0000 0.5000 0.5000
Pd 0.0000 0.1283 0.6283
Pd 0.0000 0.8717 0.3717
Pd 0.0000 0.6283 0.8717
Pd 0.0000 0.3717 0.1283
CELL_PARAMETERS angstrom
-2.3646 -1.7171 -1.9562
5.0474 -9.8077 2.5077
-6.6803 -1.1216 9.0593
```

Properties
- E_form: -494 meV per atom
- DOS at the Fermi energy: 0.8672 states/eV per atom
- Uncorrected energy: -5.418 eV per atom